The following is a meta-GGA SCAN calculation of a PBEsol-optimized structure of BaHfCuOs2, from Alexandria.

energy of formation = 1.73 eV/atom
Fermi-level density of states = 1.169 states/eV per atom

abc: 4.6789 4.6789 4.8344
angles: 90.00 90.00 90.00
Site moments in Bohr magnetons follow the coordinates.
Positions (direct):
Ba: 0.0000 0.0000 0.5000  -0.02
Os: 0.0000 0.5000 0.0000  0.42
Hf: 0.5000 0.5000 0.5000  -0.12
Os: 0.5000 0.0000 0.0000  0.42
Cu: 0.0000 0.0000 0.0000  0.12